Record 1
RbTe3Pb, optimized geometry, DFT PBE; formation energy (no corrections) = -10 kJ per mole of atoms; crystal system = cubic; magnetization = 0.000 μB per formula unit; DOS(E_F) = 6.13 states/eV per cell; relative energy among the computed polymorphs = 0.000 eV per atom
1.0
-1.714 -2.312 5.276
-5.137 -1.878 -2.491
2.607 -5.220 -1.441
Te Rb Pb
3 1 1
Direct
0.000 0.500 0.000
0.000 0.000 0.500
0.500 0.000 0.000
0.500 0.500 0.500
0.000 0.000 0.000

=====

Record 2
RbTePb2, optimized geometry, DFT PBE; formation energy (no corrections) = -16 kJ per mole of atoms; crystal system = tetragonal; magnetization = 0.000 μB per formula unit; DOS(E_F) = 5.52 states/eV per cell
1.0
-8.737 4.128 0.158
-3.962 -8.477 2.418
-5.934 -1.423 4.601
Rb Pb Te
2 4 2
Direct
0.250 0.750 0.500
0.500 0.500 0.000
0.875 0.925 0.750
0.075 0.625 0.250
0.375 0.325 0.750
0.675 0.125 0.250
0.750 0.250 0.500
0.000 0.000 0.000

=====

Record 3
RbTePb3, optimized geometry, DFT PBE; formation energy (no corrections) = 109 kJ per mole of atoms; crystal system = cubic; magnetization = 0.001 μB per formula unit; DOS(E_F) = 11.13 states/eV per cell; relative energy among the computed polymorphs = 0.968 eV per atom
1.0
6.191 0.000 0.000
0.000 6.191 0.000
0.000 0.000 6.191
Pb Te Rb
3 1 1
Direct
0.000 0.000 0.500
0.500 0.000 0.000
0.000 0.500 0.000
0.500 0.500 0.500
0.000 0.000 0.000

=====

Record 4
RbTePb3, optimized geometry, DFT PBE; formation energy (no corrections) = 16 kJ per mole of atoms; crystal system = cubic; magnetization = 0.000 μB per formula unit; DOS(E_F) = 5.75 states/eV per cell; relative energy among the computed polymorphs = 0.000 eV per atom
1.0
-2.309 5.159 2.400
-3.262 -3.323 4.003
4.662 0.230 3.990
Pb Te Rb
3 1 1
Direct
0.500 0.000 0.000
0.000 0.000 0.500
0.000 0.500 0.000
0.000 0.000 0.000
0.500 0.500 0.500

=====

Record 5
Rb2TePb, optimized geometry, DFT PBE; formation energy (no corrections) = -23 kJ per mole of atoms; crystal system = cubic; magnetization = 1.995 μB per formula unit; DOS(E_F) = 3.06 states/eV per cell; relative energy among the computed polymorphs = 0.031 eV per atom
1.0
0.000 4.415 4.415
4.415 0.000 4.415
4.415 4.415 0.000
Rb Pb Te
2 1 1
Direct
0.250 0.250 0.250
0.750 0.750 0.750
0.500 0.500 0.500
0.000 0.000 0.000

=====

Record 6
RbTe3Pb, optimized geometry, DFT PBE; formation energy (no corrections) = 73 kJ per mole of atoms; crystal system = cubic; magnetization = 0.514 μB per formula unit; DOS(E_F) = 9.26 states/eV per cell; relative energy among the computed polymorphs = 0.861 eV per atom
1.0
-1.690 0.276 5.886
-5.247 -2.856 -1.372
2.681 -5.417 1.024
Rb Pb Te
1 1 3
Direct
0.000 0.000 0.000
0.500 0.500 0.500
0.000 0.500 0.000
0.000 0.000 0.500
0.500 0.000 0.000

=====

Record 7
Rb2TePb, optimized geometry, DFT PBE; formation energy (no corrections) = -26 kJ per mole of atoms; crystal system = tetragonal; magnetization = 0.513 μB per formula unit; DOS(E_F) = 7.96 states/eV per cell; relative energy among the computed polymorphs = 0.000 eV per atom
1.0
-9.132 4.756 1.340
-2.855 -2.780 -9.588
-7.309 -1.883 -2.900
Rb Te Pb
4 2 2
Direct
0.586 0.125 0.250
0.375 0.414 0.750
0.875 0.836 0.750
0.164 0.625 0.250
0.500 0.500 0.000
0.250 0.750 0.500
0.000 0.000 0.000
0.750 0.250 0.500

=====

Record 8
Rb3Te3Pb2, optimized geometry, DFT PBE; formation energy (no corrections) = -61 kJ per mole of atoms; crystal system = orthorhombic; magnetization = 0.000 μB per formula unit; DOS(E_F) = 14.49 states/eV per cell
1.0
9.289 0.000 0.000
0.000 8.740 0.000
0.000 0.000 17.309
Te Pb Rb
12 8 12
Direct
0.429 0.706 0.954
0.394 0.688 0.250
0.106 0.188 0.250
0.071 0.206 0.546
0.071 0.206 0.954
0.894 0.812 0.750
0.929 0.794 0.454
0.571 0.294 0.046
0.929 0.794 0.046
0.571 0.294 0.454
0.606 0.312 0.750
0.429 0.706 0.546
0.882 0.128 0.388
0.382 0.372 0.612
0.882 0.128 0.112
0.118 0.872 0.612
0.382 0.372 0.888
0.118 0.872 0.888
0.618 0.628 0.112
0.618 0.628 0.388
0.696 0.019 0.594
0.196 0.481 0.094
0.304 0.981 0.406
0.021 0.242 0.750
0.521 0.258 0.250
0.304 0.981 0.094
0.479 0.742 0.750
0.804 0.519 0.594
0.804 0.519 0.906
0.196 0.481 0.406
0.696 0.019 0.906
0.979 0.758 0.250

=====

Record 9
Rb3Te3Pb, optimized geometry, DFT PBE; formation energy (no corrections) = -73 kJ per mole of atoms; crystal system = orthorhombic; magnetization = 0.000 μB per formula unit; DOS(E_F) = 14.95 states/eV per cell
1.0
8.173 0.000 0.000
-4.087 11.223 0.000
0.000 0.000 14.886
Te Rb Pb
12 12 4
Direct
0.140 0.682 0.622
0.723 0.000 0.605
0.777 0.000 0.105
0.860 0.318 0.378
0.958 0.318 0.878
0.042 0.682 0.122
0.640 0.682 0.878
0.223 0.000 0.895
0.277 0.000 0.395
0.360 0.318 0.122
0.458 0.318 0.622
0.542 0.682 0.378
0.338 0.000 0.150
0.660 0.647 0.628
0.988 0.647 0.372
0.162 0.000 0.650
0.160 0.647 0.872
0.838 0.000 0.350
0.340 0.353 0.372
0.840 0.353 0.128
0.012 0.353 0.628
0.662 0.000 0.850
0.488 0.647 0.128
0.512 0.353 0.872
0.586 0.172 0.500
0.914 0.828 0.000
0.086 0.172 0.000
0.414 0.828 0.500

=====

Record 10
Rb3Te4Pb2, optimized geometry, DFT PBE; formation energy (no corrections) = -66 kJ per mole of atoms; crystal system = monoclinic; magnetization = 0.000 μB per formula unit; DOS(E_F) = 1.81 states/eV per cell
1.0
5.629 0.000 0.000
0.000 8.055 0.882
-2.815 -3.191 8.293
Rb Te Pb
3 4 2
Direct
0.869 0.436 0.738
0.000 0.000 0.000
0.131 0.564 0.262
0.518 0.706 0.037
0.781 0.806 0.562
0.482 0.294 0.963
0.219 0.194 0.438
0.661 0.020 0.322
0.339 0.980 0.678

=====

Record 11
Rb2Te2Pb, optimized geometry, DFT PBE; formation energy (no corrections) = -75 kJ per mole of atoms; crystal system = monoclinic; magnetization = 0.000 μB per formula unit; relative energy among the computed polymorphs = 0.000 eV per atom
1.0
-8.801 -2.898 -0.173
-0.139 -0.153 9.579
-1.967 10.734 0.143
Rb Te Pb
8 8 4
Direct
0.977 0.773 0.931
0.034 0.322 0.670
0.466 0.822 0.330
0.523 0.273 0.069
0.477 0.727 0.931
0.966 0.678 0.330
0.534 0.178 0.670
0.023 0.227 0.069
0.797 0.904 0.599
0.745 0.950 0.138
0.755 0.450 0.862
0.297 0.596 0.599
0.203 0.096 0.401
0.245 0.550 0.138
0.255 0.050 0.862
0.703 0.404 0.401
0.147 0.904 0.623
0.853 0.096 0.377
0.353 0.404 0.377
0.647 0.596 0.623

=====

Record 12
Rb3TePb, optimized geometry, DFT PBE; formation energy (no corrections) = -29 kJ per mole of atoms; crystal system = cubic; magnetization = 3.000 μB per formula unit; DOS(E_F) = 0.00 states/eV per cell; relative energy among the computed polymorphs = 0.000 eV per atom
1.0
6.968 0.000 0.000
0.000 6.968 0.000
0.000 0.000 6.968
Te Rb Pb
1 3 1
Direct
0.000 0.000 0.000
0.000 0.000 0.500
0.000 0.500 0.000
0.500 0.000 0.000
0.500 0.500 0.500